[1]
Density functional theory data (PBE) for a relaxed Nd6Si2SCl3 crystal.

It has space group C2/m (No. 12), with a = 18.4765 Å, b = 4.1942 Å, c = 8.4369 Å, α = 90.00°, β = 104.71° and γ = 90.00°. The distinct sites, in fractional coordinates, are Nd at (0.0059, 0.0000, 0.2280), Nd at (0.1579, 0.5000, 0.0961), Nd at (0.1731, 0.5000, 0.5702), Si at (0.1649, 0.0000, 0.3311), S at (0.0000, 0.5000, 0.0000), Cl at (0.0000, 0.5000, 0.5000) and Cl at (0.1711, 0.0000, 0.8363).

The spin magnetization is 0.00 μB/f.u. For the formation energy from raw total energies, the calculation gives -31.72 kcal/mol of atoms.



[2]
Density functional theory data (PBE) for a relaxed Mg3Mo crystal.

It has space group P-6m2 (No. 187), with a = 2.9902 Å, b = 2.9902 Å, c = 9.9585 Å, α = 90.00°, β = 90.00° and γ = 120.00°. The distinct sites, in fractional coordinates, are Mg at (0.0000, 0.0000, 0.0000), Mg at (0.3333, 0.6667, 0.2650) and Mo at (0.0000, 0.0000, 0.5000).

The spin magnetization is 0.00 μB/f.u. Its formation energy is 254 meV per atom. As for the polymorph energy (0 for the lowest one): 57 meV/atom.



no.,DFT total energy (Ry per atom)
1,-0.40196
2,-0.26825